# 1
Computed, not measured: crystalline ZrSnAsSe2 at its relaxed geometry at the PBE-GGA level of DFT.

## Properties
For the total magnetization, the calculation gives 0.000 μB/f.u. The raw formation energy comes out at -289 meV per atom. The relative energy among the computed polymorphs comes out at 0 meV per atom. As for the total energy: -5.123 eV per atom.

Cell lengths 5.196, 5.196, 5.277 Å; angles 90.00, 90.00, 90.00 degrees
Fractional positions:
Zr 0.000 0.000 0.000
Sn 0.500 0.500 0.500
As 0.000 0.000 0.500
Se 0.000 0.500 0.000
Se 0.500 0.000 0.000

---

# 2
Computed, not measured: crystalline ZrSnAsSe2 at its relaxed geometry at the PBE-GGA level of DFT.

## Properties
For the total magnetization, the calculation gives 0.001 μB/f.u. The raw formation energy comes out at 495 meV per atom. The relative energy among the computed polymorphs comes out at 783 meV per atom. As for the total energy: -4.339 eV per atom.

Cell lengths 5.140, 5.140, 5.147 Å; angles 90.00, 90.00, 90.00 degrees
Fractional positions:
Zr 0.000 0.000 0.000
Sn 0.500 0.500 0.500
As 0.500 0.500 0.000
Se 0.000 0.500 0.500
Se 0.500 0.000 0.500

---

# 3
Computed, not measured: crystalline SrAsSe2 at its relaxed geometry at the PBE-GGA level of DFT.

## Properties
For the total magnetization, the calculation gives 0.000 μB/f.u. The raw formation energy comes out at -943 meV per atom. As for the total energy: -4.268 eV per atom.

Cell lengths 4.474, 4.547, 6.051 Å; angles 90.00, 106.44, 90.00 degrees
Fractional positions:
Sr 0.000 0.000 0.000
As 0.527 0.500 0.356
Se 0.480 0.500 0.937
Se 0.799 0.000 0.452

---

# 4
Computed, not measured: crystalline Sr4AsSe2 at its relaxed geometry at the PBE-GGA level of DFT.

## Properties
For the total magnetization, the calculation gives 0.929 μB/f.u. The raw formation energy comes out at -1513 meV per atom. As for the total energy: -4.134 eV per atom.

Cell lengths 7.540, 7.540, 14.857 Å; angles 90.00, 90.00, 145.93 degrees
Fractional positions:
Sr 0.000 0.000 0.000
Sr 0.000 0.000 0.500
Sr 0.276 0.724 0.628
Sr 0.276 0.724 0.872
Sr 0.458 0.542 0.250
Sr 0.542 0.458 0.750
Sr 0.724 0.276 0.128
Sr 0.724 0.276 0.372
As 0.114 0.886 0.250
As 0.886 0.114 0.750
Se 0.366 0.634 0.059
Se 0.366 0.634 0.441
Se 0.634 0.366 0.559
Se 0.634 0.366 0.941

---

# 5
Computed, not measured: crystalline Sr2AsSe at its relaxed geometry at the PBE-GGA level of DFT.

## Properties
For the total magnetization, the calculation gives 0.000 μB/f.u. The raw formation energy comes out at -1160 meV per atom. The relative energy among the computed polymorphs comes out at 250 meV per atom. As for the total energy: -4.035 eV per atom.

Cell lengths 6.981, 6.981, 6.981 Å; angles 108.54, 108.54, 111.35 degrees
Fractional positions:
Sr 0.122 0.125 0.497
Sr 0.375 0.878 0.003
Sr 0.628 0.625 0.503
Sr 0.875 0.372 0.997
As 0.250 0.750 0.500
As 0.500 0.500 0.000
Se 0.000 0.000 0.000
Se 0.750 0.250 0.500

---

# 6
Computed, not measured: crystalline SrAsSe2 at its relaxed geometry at the PBE-GGA level of DFT.

## Properties
For the total magnetization, the calculation gives 0.000 μB/f.u. The raw formation energy comes out at -218 meV per atom. As for the total energy: -3.543 eV per atom.

Cell lengths 5.212, 5.212, 5.212 Å; angles 60.00, 60.00, 60.00 degrees
Fractional positions:
Sr 0.000 0.000 0.000
As 0.750 0.750 0.750
Se 0.250 0.250 0.250
Se 0.500 0.500 0.500